(1)
## Pm3Mg11 (PBE)

Data for a relaxed structure of Pm3Mg11.

Cell lengths 5.0252, 8.9379, 8.9379 Å; angles 79.28, 73.67, 73.67 degrees
Sites, in units of the cell vectors:
Pm: 0.7179 0.2821 0.2821
Pm: 0.2821 0.7179 0.7179
Pm: 0.0000 0.0000 0.0000
Mg: 0.6332 0.7376 0.9961
Mg: 0.1448 0.5808 0.1296
Mg: 0.5000 0.3442 0.6558
Mg: 0.0000 0.5000 0.5000
Mg: 0.8552 0.8704 0.4192
Mg: 0.3668 0.0039 0.2624
Mg: 0.6332 0.9961 0.7376
Mg: 0.8552 0.4192 0.8704
Mg: 0.1448 0.1296 0.5808
Mg: 0.3668 0.2624 0.0039
Mg: 0.5000 0.6558 0.3442

Summary:
ρ = 3.2 g cm⁻³
DOS(E_F) = 11.3 states/eV/cell
formation energy = -0.032 eV per atom
final energy = -2.303 eV/atom

(2)
## Pm7PrMg2 (PBE)

Data for a relaxed structure of Pm7PrMg2.

Cell lengths 5.4507, 9.3569, 9.3570 Å; angles 123.55, 90.00, 90.00 degrees
Sites, in units of the cell vectors:
Pm: 0.5000 0.0679 0.3000
Pm: 0.0000 0.7839 0.2161
Pm: 0.5000 0.7000 0.9321
Pm: 0.0000 0.2161 0.7839
Pm: 0.5000 0.9321 0.7000
Pm: 0.5000 0.3000 0.0679
Pm: 0.5000 0.5000 0.5000
Pr: 0.0000 0.0000 0.0000
Mg: 0.5000 0.2976 0.7024
Mg: 0.5000 0.7024 0.2976

Summary:
ρ = 5.0 g cm⁻³
DOS(E_F) = 15.2 states/eV/cell
formation energy = 0.529 eV per atom
final energy = -3.593 eV/atom
relative energy among the computed polymorphs = 389 meV/atom

(3)
## Pm5Pr6Mg (PBE)

Data for a relaxed structure of Pm5Pr6Mg.

Cell lengths 5.1831, 9.6624, 9.6624 Å; angles 106.89, 105.57, 105.57 degrees
Sites, in units of the cell vectors:
Pr: 0.2469 0.0812 0.4119
Pr: 0.7531 0.5881 0.9188
Pr: 0.2521 0.7523 0.7523
Pr: 0.2469 0.4119 0.0812
Pr: 0.7531 0.9188 0.5881
Pr: 0.7479 0.2477 0.2477
Pm: 0.5000 0.5000 0.5000
Pm: 0.0000 0.3350 0.6650
Pm: 0.5000 0.8310 0.1690
Pm: 0.5000 0.1690 0.8310
Pm: 0.0000 0.6650 0.3350
Mg: 0.0000 0.0000 0.0000

Summary:
ρ = 6.4 g cm⁻³
DOS(E_F) = 16.7 states/eV/cell
formation energy = 0.009 eV per atom
final energy = -4.493 eV/atom

(4)
## Pm2Pr15Mg2 (PBE)

Data for a relaxed structure of Pm2Pr15Mg2.

Cell lengths 8.9221, 8.9221, 8.9221 Å; angles 80.10, 80.10, 80.10 degrees
Sites, in units of the cell vectors:
Pr: 0.2954 0.7046 0.0000
Pr: 0.0000 0.7046 0.2954
Pr: 0.7046 0.0000 0.2954
Pr: 0.0000 0.0000 0.5000
Pr: 0.8424 0.3681 0.3681
Pr: 0.2954 0.0000 0.7046
Pr: 0.0000 0.5000 0.0000
Pr: 0.1576 0.6319 0.6319
Pr: 0.3681 0.8424 0.3681
Pr: 0.7046 0.2954 0.0000
Pr: 0.6319 0.1576 0.6319
Pr: 0.5000 0.0000 0.0000
Pr: 0.6319 0.6319 0.1576
Pr: 0.3681 0.3681 0.8424
Pr: 0.0000 0.2954 0.7046
Mg: 0.9072 0.9072 0.9072
Mg: 0.0928 0.0928 0.0928
Pm: 0.3145 0.3145 0.3145
Pm: 0.6855 0.6855 0.6855

Summary:
ρ = 6.0 g cm⁻³
DOS(E_F) = 27.0 states/eV/cell
formation energy = 0.204 eV per atom
final energy = -4.237 eV/atom

(5)
## Pm8Pr2Mg (PBE)

Data for a relaxed structure of Pm8Pr2Mg.

Cell lengths 6.0636, 8.2837, 8.2837 Å; angles 86.30, 80.11, 80.11 degrees
Sites, in units of the cell vectors:
Pm: 0.7920 0.1373 0.6533
Pm: 0.2080 0.3467 0.8627
Pm: 0.2868 0.4233 0.4233
Pm: 0.7132 0.5767 0.5767
Pm: 0.2080 0.8627 0.3467
Pm: 0.0927 0.7313 0.7313
Pm: 0.9073 0.2687 0.2687
Pm: 0.7920 0.6533 0.1373
Pr: 0.4915 0.8596 0.8596
Pr: 0.5085 0.1404 0.1404
Mg: 0.0000 0.0000 0.0000

Summary:
ρ = 6.0 g cm⁻³
DOS(E_F) = 14.3 states/eV/cell
formation energy = 0.365 eV per atom
final energy = -4.104 eV/atom
relative energy among the computed polymorphs = 262 meV/atom

(6)
## PmPrMg3 (PBE)

Data for a relaxed structure of PmPrMg3.

Cell lengths 9.3050, 9.3050, 9.3050 Å; angles 39.18, 39.18, 39.18 degrees
Sites, in units of the cell vectors:
Mg: 0.1241 0.1241 0.6130
Mg: 0.6130 0.1241 0.1241
Mg: 0.3870 0.8759 0.8759
Mg: 0.8759 0.8759 0.3870
Mg: 0.8759 0.3870 0.8759
Mg: 0.1241 0.6130 0.1241
Pm: 0.5673 0.5673 0.5673
Pm: 0.4327 0.4327 0.4327
Pr: 0.8340 0.8340 0.8340
Pr: 0.1660 0.1660 0.1660

Summary:
ρ = 4.1 g cm⁻³
DOS(E_F) = 11.5 states/eV/cell
formation energy = 0.000 eV per atom
final energy = -2.863 eV/atom

(7)
## PmPr2Mg2 (PBE)

Data for a relaxed structure of PmPr2Mg2.

Cell lengths 5.3194, 6.1047, 6.1047 Å; angles 72.61, 64.17, 64.17 degrees
Sites, in units of the cell vectors:
Pr: 0.8061 0.6939 0.6939
Pr: 0.1939 0.3061 0.3061
Mg: 0.5000 0.2940 0.7060
Mg: 0.5000 0.7060 0.2940
Pm: 0.0000 0.0000 0.0000

Summary:
ρ = 5.0 g cm⁻³
DOS(E_F) = 6.5 states/eV/cell
formation energy = 0.028 eV per atom
final energy = -3.472 eV/atom
relative energy among the computed polymorphs = 106 meV/atom

(8)
## Pm4Pr6Mg (PBE)

Data for a relaxed structure of Pm4Pr6Mg.

Cell lengths 9.7789, 9.7789, 9.7789 Å; angles 58.06, 139.86, 139.86 degrees
Sites, in units of the cell vectors:
Pr: 0.6681 0.2123 0.2123
Pr: 0.0000 0.4558 0.7877
Pr: 0.5000 0.5000 0.0000
Pr: 0.3319 0.5442 0.5442
Pr: 0.5000 0.0000 0.5000
Pr: 0.0000 0.7877 0.4558
Mg: 0.0000 0.0000 0.0000
Pm: 0.0000 0.6400 0.0021
Pm: 0.6379 0.9979 0.9979
Pm: 0.0000 0.0021 0.6400
Pm: 0.3621 0.3600 0.3600

Summary:
ρ = 6.3 g cm⁻³
DOS(E_F) = 15.7 states/eV/cell
formation energy = 0.248 eV per atom
final energy = -4.232 eV/atom

- Which value of final energy does entry 2 give?
  -3.593 eV/atom

- What is the formula in the seventh record?
  PmPr2Mg2

- final energy of number 8 (Pm4Pr6Mg)?
  -4.232 eV/atom